Density functional theory data (GGA+U) for a geometry-optimized CrHgAu2O6 structure.

## Properties
- Density: 6.9 g/cm³
- Final energy: -4.800 eV per atom
- D(E_F): 2.0 states/eV/f.u.
- Space-group type: C2/c, No. 15

```
CrHgAu2O6
1.0
-1.847 -7.688 -1.845
6.204 -2.478 -0.680
-0.735 -2.463 6.204
Cr O Au Hg
2 12 4 2
Direct
0.250 0.104 0.896
0.750 0.896 0.104
0.921 0.804 0.194
0.102 0.641 0.547
0.421 0.194 0.804
0.786 0.889 0.828
0.579 0.806 0.196
0.214 0.111 0.172
0.602 0.547 0.641
0.898 0.359 0.453
0.714 0.172 0.111
0.079 0.196 0.806
0.286 0.828 0.889
0.398 0.453 0.359
0.342 0.638 0.634
0.158 0.366 0.362
0.658 0.362 0.366
0.842 0.634 0.638
0.750 0.229 0.771
0.250 0.771 0.229
```